1.
## Rb2ScAg2Te4 (PBE)

Data for crystalline Rb2ScAg2Te4 at its relaxed geometry.

Cell and atoms, written as CIF:
```
data_Rb2ScAg2Te4
_cell_length_a 16.313
_cell_length_b 4.324
_cell_length_c 8.783
_cell_angle_alpha 90.00
_cell_angle_beta 108.64
_cell_angle_gamma 90.00
_symmetry_space_group_name_H-M 'C 1 2/m 1'
_symmetry_Int_Tables_number 12
loop_
_symmetry_equiv_pos_as_xyz
'x,y,z'
'-x,-y,-z'
'-x,y,-z'
'x,-y,z'
'x+1/2,y+1/2,z'
'-x+1/2,-y+1/2,-z'
'-x+1/2,y+1/2,-z'
'x+1/2,-y+1/2,z'
loop_
_atom_site_label
_atom_site_fract_x
_atom_site_fract_y
_atom_site_fract_z
Rb1 0.132 0.000 0.071
Sc1 0.000 0.000 0.500
Ag1 0.183 0.500 0.477
Te1 0.010 0.500 0.273
Te2 0.190 0.000 0.690
```

Computed properties:
ρ   5.3 Mg/m³
Total DFT energy (no corrections)   -3.729 eV/atom

***

2.
## RbSc2TlAg (PBE)

Data for crystalline RbSc2TlAg at its relaxed geometry.

Cell and atoms, written as CIF:
```
data_RbSc2TlAg
_cell_length_a 5.440
_cell_length_b 5.440
_cell_length_c 5.538
_cell_angle_alpha 90.00
_cell_angle_beta 90.00
_cell_angle_gamma 90.00
_symmetry_space_group_name_H-M 'P 4/m m m'
_symmetry_Int_Tables_number 123
_symmetry_space_group_name_Hall '-P 4 2'
loop_
_atom_site_label
_atom_site_fract_x
_atom_site_fract_y
_atom_site_fract_z
Rb1 0.000 0.000 0.000
Sc1 0.000 0.500 0.500
Tl1 0.500 0.500 0.000
Ag1 0.500 0.500 0.500
```

Computed properties:
ρ   4.9 Mg/m³
Energy of formation from the pure elements   0.4753 eV/atom
Total DFT energy (no corrections)   -3.294 eV/atom

***

3.
## RbSc2AgW (PBE)

Data for crystalline RbSc2AgW at its relaxed geometry.

Cell and atoms, written as CIF:
```
data_RbSc2AgW
_cell_length_a 5.277
_cell_length_b 5.277
_cell_length_c 5.871
_cell_angle_alpha 90.00
_cell_angle_beta 90.00
_cell_angle_gamma 90.00
_symmetry_space_group_name_H-M 'P 4/m m m'
_symmetry_Int_Tables_number 123
_symmetry_space_group_name_Hall '-P 4 2'
loop_
_atom_site_label
_atom_site_fract_x
_atom_site_fract_y
_atom_site_fract_z
Rb1 0.000 0.000 0.000
Sc1 0.000 0.500 0.500
Ag1 0.000 0.000 0.500
W1 0.500 0.500 0.000
```

Computed properties:
ρ   4.7 Mg/m³
Energy of formation from the pure elements   1.6628 eV/atom
Total DFT energy (no corrections)   -4.224 eV/atom

***

4.
## Rb2ZrScAg (PBE)

Data for crystalline Rb2ZrScAg at its relaxed geometry.

Cell and atoms, written as CIF:
```
data_Rb2ZrScAg
_cell_length_a 6.787
_cell_length_b 6.787
_cell_length_c 5.069
_cell_angle_alpha 90.00
_cell_angle_beta 90.00
_cell_angle_gamma 90.00
_symmetry_space_group_name_H-M 'P 4/m m m'
_symmetry_Int_Tables_number 123
_symmetry_space_group_name_Hall '-P 4 2'
loop_
_atom_site_label
_atom_site_fract_x
_atom_site_fract_y
_atom_site_fract_z
Rb1 0.000 0.500 0.000
Zr1 0.000 0.000 0.500
Sc1 0.500 0.500 0.000
Ag1 0.500 0.500 0.500
```

Computed properties:
ρ   3.0 Mg/m³
Energy of formation from the pure elements   1.4926 eV/atom
Total DFT energy (no corrections)   -2.441 eV/atom

***

5.
## RbZrScAg2 (PBE)

Data for crystalline RbZrScAg2 at its relaxed geometry.

Cell and atoms, written as CIF:
```
data_RbZrScAg2
_cell_length_a 5.269
_cell_length_b 5.269
_cell_length_c 5.192
_cell_angle_alpha 90.00
_cell_angle_beta 90.00
_cell_angle_gamma 90.00
_symmetry_space_group_name_H-M 'P 4/m m m'
_symmetry_Int_Tables_number 123
_symmetry_space_group_name_Hall '-P 4 2'
loop_
_atom_site_label
_atom_site_fract_x
_atom_site_fract_y
_atom_site_fract_z
Rb1 0.000 0.000 0.000
Zr1 0.500 0.500 0.500
Sc1 0.000 0.000 0.500
Ag1 0.000 0.500 0.000
```

Computed properties:
ρ   5.0 Mg/m³
Energy of formation from the pure elements   1.5981 eV/atom
Total DFT energy (no corrections)   -2.712 eV/atom

***

6.
## RbAg12Se6 (PBE)

Data for crystalline RbAg12Se6 at its relaxed geometry.

Cell and atoms, written as CIF:
```
data_RbAg12Se6
_cell_length_a 11.5574
_cell_length_b 11.5574
_cell_length_c 11.8473
_cell_angle_alpha 90.00
_cell_angle_beta 90.00
_cell_angle_gamma 120.00
_symmetry_space_group_name_H-M 'R -3 m'
_symmetry_Int_Tables_number 166
_symmetry_space_group_name_Hall '-R 3 2"'
loop_
_atom_site_label
_atom_site_fract_x
_atom_site_fract_y
_atom_site_fract_z
Rb1 0.0000 0.0000 0.0000
Ag1 0.0000 0.2919 0.5000
Ag2 0.0911 0.1822 0.3111
Se1 0.0394 0.5197 0.3476
```

Computed properties:
ρ   6.7 Mg/m³
Total DFT energy (no corrections)   -3.095 eV/atom

***

> Number 5 is which compound?

RbZrScAg2